First-principles (PBE-GGA) data for an optimized crystal structure of BaLa3Pt, as listed in the Alexandria database.

Unit cell a=6.5257 b=7.5512 c=7.8088 alpha=90.28 beta=94.25 gamma=90.02
Fractional coordinates of all 10 atoms:
Ba (0.0000, 0.0000, 0.0000)
Ba (0.0754, 0.5003, 0.1725)
La (0.1340, 0.9992, 0.5201)
La (0.4883, 0.2529, 0.8235)
La (0.4880, 0.7496, 0.8235)
La (0.5866, 0.2469, 0.3488)
La (0.5877, 0.7503, 0.3491)
La (0.9414, 0.4998, 0.6524)
Pt (0.3672, 0.4998, 0.5496)
Pt (0.7082, 0.0004, 0.6229)

Summary:
* ΔH_f (0 K): -0.411 eV per atom
* D(E_F): 1.208 states/eV/atom
* spin magnetization: 0.0 μB per formula unit
* distance to the lowest polymorph of the same formula: 0.000 eV/atom
* energy: -24.8 eV per formula unit